[1]
The following is a DFT calculation (PBE-GGA) of TlZnGa after structural relaxation.

Unit cell a=4.0741 b=4.5116 c=8.4923 alpha=82.48 beta=88.47 gamma=64.94
Closest atoms and distances in Å follow each position.
Space group P-1 (No. 2)
Unique sites:
Tl  0.1784  0.1513  0.1394 (multiplicity 2)  3 Zn 3.00-3.08, 1 Ga 3.26
Zn  0.4819  0.5374  0.6652 (multiplicity 2)  4 Ga 2.64-2.95, 1 Zn 2.86
Ga  0.1566  0.1807  0.5744 (multiplicity 2)  4 Zn 2.64-2.95, 3 Ga 2.75-2.93

Properties
As for the formation energy from the elements: 0.09 eV/atom.

[2]
The following is a DFT calculation (PBE-GGA) of LiTeMo2 after structural relaxation.

Unit cell a=9.6672 b=3.3578 c=4.2831 alpha=90.00 beta=105.32 gamma=90.00
Closest atoms and distances in Å follow each position.
Space group C2/m (No. 12)
Unique sites:
Li  0.0000  0.0000  0.0000 (multiplicity 2)  4 Te 2.72, 6 Mo 2.85-2.90
Te  0.0000  0.5000  0.5000 (multiplicity 2)  4 Li 2.72, 6 Mo 2.91-2.93
Mo  0.2498  0.0000  0.7639 (multiplicity 4)  4 Mo 2.63-2.82, 3 Li 2.85-2.90, 3 Te 2.91-2.93

Properties
The value obtained for the formation energy (no corrections) is 293 meV/atom.

[3]
The following is a DFT calculation (PBE-GGA) of PrSm6Y2 after structural relaxation.

Unit cell a=11.8129 b=3.4820 c=15.5005 alpha=90.00 beta=102.12 gamma=90.00
Closest atoms and distances in Å follow each position.
Space group C2/m (No. 12)
Unique sites:
Pr  0.0000  0.0000  0.0000 (multiplicity 2)  2 Pr 3.48, 8 Sm 3.52-3.64
Sm  0.0414  0.0000  0.2319 (multiplicity 4)  6 Sm 3.48-3.60, 3 Y 3.49-3.63, 1 Pr 3.53
Sm  0.1273  0.5000  0.4368 (multiplicity 4)  4 Y 3.48-3.63, 6 Sm 3.48-3.59
Sm  0.2055  0.5000  0.8948 (multiplicity 4)  6 Sm 3.48-3.65, 1 Y 3.48, 3 Pr 3.52-3.64
Y  0.1660  0.5000  0.6657 (multiplicity 4)  8 Sm 3.48-3.63, 2 Y 3.48

Properties
The excess energy over the best structure of this formula in the dataset is 0.0 meV per atom. As for the formation energy from the elements: 0.18 eV/atom.

[4]
The following is a DFT calculation (PBE-GGA) of RbNa2DyBr6 after structural relaxation.

Unit cell a=7.6607 b=7.6607 c=21.0092 alpha=90.00 beta=90.00 gamma=120.00
Closest atoms and distances in Å follow each position.
Space group R3 (No. 146, hexagonal axes)
Unique sites:
Rb  0.0000  0.0000  0.0000 (multiplicity 3)  6 Br 3.35-3.59
Na  0.0000  0.0000  0.2850 (multiplicity 3)  6 Br 3.03-3.12
Na  0.0000  0.0000  0.8011 (multiplicity 3)  6 Br 2.95-3.10
Dy  0.0000  0.0000  0.4786 (multiplicity 3)  6 Br 2.82-2.83
Br  0.0052  0.3175  0.5485 (multiplicity 9)  1 Dy 2.82, 2 Na 3.03-3.10
Br  0.0248  0.6058  0.0586 (multiplicity 9)  1 Dy 2.83, 2 Na 2.95-3.12

Properties
The value obtained for the formation energy (no corrections) is -1729 meV/atom.

[5]
The following is a DFT calculation (PBE-GGA) of Li5BiO4 after structural relaxation.

Unit cell a=9.3303 b=9.6987 c=9.9617 alpha=90.00 beta=90.00 gamma=90.00
Closest atoms and distances in Å follow each position.
Space group Pbca (No. 61)
Unique sites:
Li  0.1145  0.0816  0.1411 (multiplicity 8)  4 O 1.97-2.19
Li  0.1200  0.6354  0.8491 (multiplicity 8)  4 O 1.99-2.13
Li  0.1244  0.1455  0.9034 (multiplicity 8)  4 O 1.96-2.16
Li  0.1357  0.1556  0.6437 (multiplicity 8)  3 O 1.95-1.96
Li  0.1710  0.6102  0.4126 (multiplicity 8)  3 O 1.96-2.01
Bi  0.0771  0.6484  0.1418 (multiplicity 8)  4 O 2.20-2.38
O  0.0008  0.7246  0.4505 (multiplicity 8)  5 Li 1.96-2.03
O  0.0228  0.0398  0.7656 (multiplicity 8)  4 Li 1.96-1.99
O  0.2246  0.5333  0.0111 (multiplicity 8)  4 Li 1.96-2.13, 1 Bi 2.20
O  0.2400  0.2238  0.2658 (multiplicity 8)  4 Li 1.95-2.16

Properties
The value obtained for the formation energy (no corrections) is -1662 meV/atom. The excess energy over the best structure of this formula in the dataset is 7.7 meV per atom.

[6]
The following is a DFT calculation (PBE-GGA) of FeTcBr2 after structural relaxation.

Unit cell a=3.0936 b=5.8424 c=8.3416 alpha=90.00 beta=90.00 gamma=90.00
Closest atoms and distances in Å follow each position.
Space group Cmmm (No. 65)
Unique sites:
Fe  0.0000  0.0000  0.0000 (multiplicity 2)  4 Br 2.60
Tc  0.0000  0.0000  0.5000 (multiplicity 2)  4 Br 2.59
Br  0.0000  0.5000  0.2510 (multiplicity 4)  2 Tc 2.59, 2 Fe 2.60

Properties
The value obtained for the formation energy (no corrections) is 868 meV/atom. The excess energy over the best structure of this formula in the dataset is 714.9 meV per atom.

Total DFT energy (no corrections) (computed, eV per atom): -2.133; -6.387; -4.929; -3.553; -4.990; -4.675